Entry 1:
A plane-wave DFT calculation with PBE was carried out for a geometry-optimized SrMg3Ga3 structure.

Calculated values
The calculation puts the energy relative to the lowest polymorph listed for this composition at 0.0 meV per atom. The value obtained for the density is 3.557 g cm⁻³. The calculated volume is 173 Å³/f.u. For the spin magnetization, the calculation gives 0.0 μB/f.u.

Lattice parameters (Å, degrees): 4.3028 9.6292 9.6326 120.12 90.00 90.00
Last column: nearest neighbours and their distance in Å.
Sites, in units of the cell vectors:
Mg 0.7500 0.9307 0.7056  4 Ga 2.83-2.94
Mg 0.7500 0.2943 0.2244  4 Ga 2.83-2.94
Mg 0.2500 0.0693 0.2944  4 Ga 2.83-2.94
Mg 0.2500 0.2248 0.9303  4 Ga 2.82-2.94
Mg 0.7500 0.7752 0.0697  4 Ga 2.82-2.94
Mg 0.2500 0.7057 0.7756  4 Ga 2.83-2.94
Sr 0.2500 0.6664 0.3335  9 Ga 3.23-3.29
Sr 0.7500 0.3336 0.6665  9 Ga 3.23-3.29
Ga 0.2500 0.5374 0.9461  2 Ga 2.64, 4 Mg 2.83-2.94
Ga 0.2500 0.0541 0.5914  2 Ga 2.64, 4 Mg 2.82-2.94
Ga 0.7500 0.9459 0.4086  2 Ga 2.64, 4 Mg 2.82-2.94
Ga 0.7500 0.5916 0.5378  2 Ga 2.64, 4 Mg 2.83-2.94
Ga 0.2500 0.4084 0.4622  2 Ga 2.64, 4 Mg 2.83-2.94
Ga 0.7500 0.4626 0.0539  2 Ga 2.64, 4 Mg 2.83-2.94

---

Entry 2:
A plane-wave DFT calculation with PBE was carried out for a geometry-optimized Sr3Mg2Ga9 structure.

Calculated values
The value obtained for the density is 5.000 g cm⁻³. The calculated volume is 312 Å³/f.u. As for the final energy: -2.92 eV/atom. For the spin magnetization, the calculation gives 0.0 μB/f.u.

Lattice parameters (Å, degrees): 4.4866 8.8294 8.8294 69.67 75.28 75.28
Last column: nearest neighbours and their distance in Å.
Sites, in units of the cell vectors:
Mg 0.5000 0.6974 0.3026  8 Ga 2.84-3.03
Mg 0.5000 0.3026 0.6974  8 Ga 2.84-3.03
Ga 0.6644 0.9680 0.7031  4 Ga 2.67-2.77, 1 Mg 2.84
Ga 0.0000 0.5000 0.5000  4 Mg 3.00, 4 Ga 3.05
Ga 0.1466 0.1274 0.5793  3 Ga 2.67-2.77
Ga 0.3356 0.0320 0.2969  4 Ga 2.67-2.77, 1 Mg 2.84
Ga 0.1466 0.5793 0.1274  3 Ga 2.67-2.77
Ga 0.8534 0.8726 0.4207  3 Ga 2.67-2.77
Ga 0.8534 0.4207 0.8726  3 Ga 2.67-2.77
Ga 0.6644 0.7031 0.9680  4 Ga 2.67-2.77, 1 Mg 2.84
Ga 0.3356 0.2969 0.0320  4 Ga 2.67-2.77, 1 Mg 2.84
Sr 0.0000 0.0000 0.0000  12 Ga 3.42-3.46, 4 Mg 3.79
Sr 0.6960 0.3040 0.3040  12 Ga 3.24-3.51, 2 Mg 3.36
Sr 0.3040 0.6960 0.6960  12 Ga 3.24-3.51, 2 Mg 3.36

---

Entry 3:
A plane-wave DFT calculation with PBE was carried out for a geometry-optimized SrMg2Ga6 structure.

Calculated values
The calculation puts the energy relative to the lowest polymorph listed for this composition at 0.0 meV per atom. The value obtained for the density is 4.737 g cm⁻³. The calculated volume is 194 Å³/f.u. For the spin magnetization, the calculation gives 0.0 μB/f.u.

Lattice parameters (Å, degrees): 4.2376 7.3964 7.5252 119.44 106.35 90.00
Last column: nearest neighbours and their distance in Å.
Sites, in units of the cell vectors:
Ga 0.5000 0.8288 0.0000  3 Ga 2.53-2.59
Ga 0.3079 0.1148 0.6157  4 Ga 2.59-2.86, 1 Mg 2.73
Ga 0.5000 0.1712 0.0000  3 Ga 2.53-2.59
Ga 0.6921 0.4990 0.3843  4 Ga 2.59-2.86, 1 Mg 2.73
Ga 0.6921 0.8852 0.3843  4 Ga 2.59-2.86, 1 Mg 2.73
Ga 0.3079 0.5010 0.6157  4 Ga 2.59-2.86, 1 Mg 2.73
Mg 0.8799 0.8799 0.7597  6 Ga 2.73-2.88, 1 Mg 2.98
Mg 0.1201 0.1201 0.2403  6 Ga 2.73-2.88, 1 Mg 2.98
Sr 0.0000 0.5000 0.0000  12 Ga 3.23-3.49